Here is an optimized crystal structure of HgB3Ir from Alexandria via LeMat-Bulk. Energies are from GGA-PBEsol.

Cell and atoms, written as extended XYZ:
```
5
Lattice="4.1391 0.0000 0.0000 0.0000 4.1391 0.0000 0.0000 0.0000 4.1391" Properties=species:S:1:pos:R:3 pbc="T T T"
Hg 0.0000 0.0000 0.0000
B 0.0000 0.0000 2.0695
B 0.0000 2.0695 0.0000
B 2.0695 0.0000 0.0000
Ir 2.0695 2.0695 2.0695
```

Summary:
Calculated total energy ... -3.66 eV/atom
Volume ... 71 Å³/f.u.
Formation energy ... 2.626 eV per atom
Space group ... Pm-3m (221)